The following is a PBE calculation of an optimized crystal structure of Ir2SBr2, from Alexandria via LeMat-Bulk.

abc: 3.717 3.717 7.932
angles: 76.45 76.45 90.00
Last column: magnetic moment on the atom in μB.
Fractional positions:
Ir1 0.250 0.750 0.500  0.47
Ir2 0.750 0.250 0.500  0.47
Br1 0.619 0.619 0.763  0.04
Br2 0.381 0.381 0.237  0.04
S1 0.000 0.000 0.000  -0.06

Properties
Calculated density   9.3 g/cm³
DOS at the Fermi energy   1.4574 states/eV per atom
Energy relative to the elements, uncorrected   1116 meV/atom
Space-group type   No. 139
E above lowest polymorph   0.00 kcal/mol of atoms